(1)
Material: TbCd2
Method: DFT, PBE-GGA
State: relaxed

The formation energy is -0.26 eV/atom. The energy comes out at -7.2 eV per formula unit.

It has space group Fd-3m (No. 227, origin choice 2), with a = 8.368 Å, b = 8.368 Å, c = 8.368 Å, α = 90.00°, β = 90.00° and γ = 90.00°. The inequivalent atoms are Tb at (0.125, 0.125, 0.125) and Cd at (0.000, 0.000, 0.500).



(2)
Material: CdInBr2F
Method: DFT, PBE-GGA
State: relaxed

The energy comes out at -14.8 eV per formula unit. For the formation energy (no corrections), the calculation gives -1176 meV/atom.

It has space group P2_1/m (No. 11), with a = 8.067 Å, b = 4.043 Å, c = 9.684 Å, α = 90.00°, β = 108.22° and γ = 90.00°. The inequivalent atoms are Cd at (0.173, 0.250, 0.175), In at (0.350, 0.250, 0.696), Br at (0.161, 0.750, 0.365), Br at (0.193, 0.750, 0.969) and F at (0.468, 0.250, 0.252).



Computed values of N(E_F) (unit: states/eV/f.u.) for the preceding records, in sequence: 2.4, 0.0.